1.
Material: PPt2Rh
Method: DFT, PBE-GGA
State: optimized geometry

Cell lengths 2.8501, 4.0032, 10.6077 Å; angles 90.00, 90.00, 90.00 degrees
Last column: nearest neighbours and their distance in Å.
Positions (direct):
P 0.0000 0.0000 0.0000  4 Pt 2.42, 4 Rh 2.46
P 0.5000 0.5000 0.5000  4 Pt 2.42, 4 Rh 2.46
Pt 0.0000 0.5000 0.3157  2 P 2.42
Pt 0.0000 0.5000 0.6843  2 P 2.42
Pt 0.5000 0.0000 0.1843  2 P 2.42
Pt 0.5000 0.0000 0.8157  2 P 2.42
Rh 0.0000 0.0000 0.5000  4 P 2.46
Rh 0.5000 0.5000 0.0000  4 P 2.46

Total moment = 0.00 μB/cell
DOS(E_F) = 3.14 states/eV/f.u.
VASP energy = -25.75 eV/f.u.
E_form = -21.8 kJ per mole of atoms
Space-group type = No. 71

***

2.
Material: P2PtRh
Method: DFT, PBE-GGA
State: optimized geometry

Cell lengths 2.8365, 4.1223, 5.0409 Å; angles 90.00, 90.00, 90.00 degrees
Last column: nearest neighbours and their distance in Å.
Positions (direct):
P 0.0000 0.0000 0.0000  4 Rh 2.50
P 0.5000 0.0000 0.5000  4 Pt 2.50
Pt 0.0000 0.5000 0.5000  4 P 2.50
Rh 0.5000 0.5000 0.0000  4 P 2.50

Total moment = 0.00 μB/cell
DOS(E_F) = 3.22 states/eV/f.u.
VASP energy = -23.60 eV/f.u.
E_form = 14.7 kJ per mole of atoms
Energy above the most stable polymorph in this dataset = 601.9 meV per atom
Space-group type = No. 47

***

3.
Material: PPtRh4
Method: DFT, PBE-GGA
State: optimized geometry

Cell lengths 5.1003, 5.1003, 5.1003 Å; angles 60.00, 60.00, 60.00 degrees
Last column: nearest neighbours and their distance in Å.
Positions (direct):
P 0.0000 0.0000 0.0000  12 Rh 2.99, 4 Pt 3.12
Pt 0.7500 0.7500 0.7500  12 Rh 2.99, 4 P 3.12
Rh 0.3753 0.3753 0.3753  6 Rh 2.54-2.56
Rh 0.3753 0.3753 0.8741  6 Rh 2.54-2.56
Rh 0.3753 0.8741 0.3753  6 Rh 2.54-2.56
Rh 0.8741 0.3753 0.3753  6 Rh 2.54-2.56

Total moment = 0.00 μB/cell
DOS(E_F) = 12.95 states/eV/f.u.
VASP energy = -37.46 eV/f.u.
E_form = 54.7 kJ per mole of atoms
Space-group type = No. 216

***

4.
Material: PPt2Rh
Method: DFT, PBE-GGA
State: optimized geometry

Cell lengths 8.1953, 3.1572, 5.2985 Å; angles 90.00, 115.84, 90.00 degrees
Last column: nearest neighbours and their distance in Å.
Positions (direct):
P 0.0000 0.0000 0.0000  3 Rh 2.32-2.39, 4 Pt 2.38-2.39
P 0.5000 0.5000 0.0000  3 Rh 2.32-2.39, 4 Pt 2.38-2.39
Pt 0.0279 0.5000 0.3544  2 P 2.39
Pt 0.3314 0.0000 0.6468  2 P 2.38
Pt 0.5279 0.0000 0.3544  2 P 2.39
Pt 0.8314 0.5000 0.6468  2 P 2.38
Rh 0.2090 0.5000 0.0032  3 P 2.32-2.39
Rh 0.7090 0.0000 0.0032  3 P 2.32-2.39

Total moment = 0.00 μB/cell
DOS(E_F) = 2.53 states/eV/f.u.
VASP energy = -26.04 eV/f.u.
E_form = -28.8 kJ per mole of atoms
Space-group type = No. 8

***

> What is the formula in the second record?

P2PtRh

***

> Among the records above, which one has the lowest VASP energy?

PPtRh4